No. 1
{"formula": "CaTe3Se", "functional": "PBE-GGA", "state": "optimized geometry", "relative_energy_kj_per_mol_fu": 0, "formation_energy_uncorrected_kj_per_mol_atoms": -22, "total_magnetization_mub_per_atom": 0.000, "space_group": "Pm-3m, No. 221", "lattice_angstrom": [[5.5026, 0.0000, 0.0000], [0.0000, 5.5026, 0.0000], [0.0000, 0.0000, 5.5026]], "species": ["Ca", "Te", "Te", "Te", "Se"], "fractional_positions": [[0.5000, 0.5000, 0.5000], [0.0000, 0.5000, 0.0000], [0.0000, 0.0000, 0.5000], [0.5000, 0.0000, 0.0000], [0.0000, 0.0000, 0.0000]]}

=====

No. 2
{"formula": "CaTe2Se2", "functional": "PBE-GGA", "state": "optimized geometry", "relative_energy_kj_per_mol_fu": 44, "formation_energy_uncorrected_kj_per_mol_atoms": -39, "total_magnetization_mub_per_atom": 0.000, "space_group": "P4/mbm, No. 127", "lattice_angstrom": [[-7.4702, -2.6035, 1.6664], [-0.0083, -4.3414, -6.8199], [1.6642, -3.3937, 2.1584]], "species": ["Ca", "Ca", "Te", "Te", "Te", "Te", "Se", "Se", "Se", "Se"], "fractional_positions": [[0.0000, 0.0000, 0.0000], [0.5000, 0.5000, 0.0000], [0.3636, 0.8636, 0.0000], [0.8636, 0.6364, 0.0000], [0.6364, 0.1364, 0.0000], [0.1364, 0.3636, 0.0000], [0.1978, 0.6978, 0.5000], [0.6978, 0.8022, 0.5000], [0.8022, 0.3022, 0.5000], [0.3022, 0.1978, 0.5000]]}

=====

No. 3
{"formula": "CaTl2TeSe4", "functional": "PBE-GGA", "state": "optimized geometry", "formation_energy_uncorrected_kj_per_mol_atoms": -61, "total_magnetization_mub_per_atom": 0.000, "space_group": "Imma, No. 74", "lattice_angstrom": [[-5.3447, 6.5469, 2.1509], [-6.7722, -4.5361, -3.1007], [5.2437, -3.5341, 6.0331]], "species": ["Ca", "Ca", "Tl", "Tl", "Tl", "Tl", "Te", "Te", "Se", "Se", "Se", "Se", "Se", "Se", "Se", "Se"], "fractional_positions": [[0.0000, 0.5000, 0.0000], [0.0000, 0.5000, 0.5000], [0.5000, 0.0000, 0.0000], [0.5000, 0.0000, 0.5000], [0.0000, 0.0000, 0.5000], [0.5000, 0.5000, 0.0000], [0.5000, 0.5000, 0.5000], [0.0000, 0.0000, 0.0000], [0.2112, 0.7481, 0.9796], [0.7519, 0.2888, 0.5204], [0.2481, 0.7112, 0.4796], [0.7888, 0.2519, 0.0204], [0.7584, 0.7413, 0.9715], [0.7587, 0.7416, 0.5285], [0.2413, 0.2584, 0.4715], [0.2416, 0.2587, 0.0285]]}

=====

No. 4
{"formula": "CaTmTeSe", "functional": "PBE-GGA", "state": "optimized geometry", "formation_energy_uncorrected_kj_per_mol_atoms": -155, "total_magnetization_mub_per_atom": 0.000, "space_group": "R3m, No. 160", "lattice_angstrom": [[4.2074, 0.0000, 0.0000], [2.1037, 3.6437, 0.0000], [2.1037, 1.2146, 7.0710]], "species": ["Ca", "Tm", "Te", "Se"], "fractional_positions": [[0.9919, 0.9919, 0.0242], [0.5073, 0.5073, 0.4780], [0.7535, 0.7535, 0.7394], [0.2472, 0.2472, 0.2585]]}

=====

No. 5
{"formula": "CaVTeSe", "functional": "PBE-GGA", "state": "optimized geometry", "formation_energy_uncorrected_kj_per_mol_atoms": -58, "total_magnetization_mub_per_atom": 0.746, "space_group": "F-43m, No. 216", "lattice_angstrom": [[5.0790, 0.0000, 0.0000], [2.5395, 4.3986, 0.0000], [2.5395, 1.4662, 4.1470]], "species": ["Ca", "Te", "Se", "V"], "fractional_positions": [[0.7500, 0.7500, 0.7500], [0.0000, 0.0000, 0.0000], [0.5000, 0.5000, 0.5000], [0.2500, 0.2500, 0.2500]]}

=====

No. 6
{"formula": "CaYTeSe", "functional": "PBE-GGA", "state": "optimized geometry", "formation_energy_uncorrected_kj_per_mol_atoms": -161, "total_magnetization_mub_per_atom": 0.000, "space_group": "R3m, No. 160", "lattice_angstrom": [[-2.7115, 3.2573, 0.1376], [-3.4202, 0.0189, -2.5065], [-5.7882, -2.2396, 4.2945]], "species": ["Ca", "Y", "Te", "Se"], "fractional_positions": [[0.2577, 0.2577, 0.2268], [0.7431, 0.7431, 0.7707], [0.4982, 0.4982, 0.5054], [0.0010, 0.0010, 0.9971]]}

=====

No. 7
{"formula": "CaThSe3", "functional": "PBE-GGA", "state": "optimized geometry", "relative_energy_kj_per_mol_fu": 0, "formation_energy_uncorrected_kj_per_mol_atoms": -177, "total_magnetization_mub_per_atom": 0.000, "space_group": "Pnma, No. 62", "lattice_angstrom": [[4.2457, 0.0000, 0.0000], [0.0000, 7.9762, 0.0000], [0.0000, 0.0000, 16.3527]], "species": ["Ca", "Ca", "Ca", "Ca", "Th", "Th", "Th", "Th", "Se", "Se", "Se", "Se", "Se", "Se", "Se", "Se", "Se", "Se", "Se", "Se"], "fractional_positions": [[0.7500, 0.9036, 0.7778], [0.2500, 0.0964, 0.2222], [0.7500, 0.4036, 0.7222], [0.2500, 0.5964, 0.2778], [0.2500, 0.2539, 0.9589], [0.2500, 0.7539, 0.5411], [0.7500, 0.2461, 0.4589], [0.7500, 0.7461, 0.0411], [0.2500, 0.3752, 0.5673], [0.7500, 0.8225, 0.2172], [0.7500, 0.4845, 0.9046], [0.7500, 0.9845, 0.5954], [0.7500, 0.6248, 0.4327], [0.2500, 0.0155, 0.4046], [0.2500, 0.8752, 0.9327], [0.7500, 0.3225, 0.2828], [0.2500, 0.6775, 0.7172], [0.2500, 0.1775, 0.7828], [0.7500, 0.1248, 0.0673], [0.2500, 0.5155, 0.0954]]}

=====

No. 8
{"formula": "CaThSe3", "functional": "PBE-GGA", "state": "optimized geometry", "relative_energy_kj_per_mol_fu": 63, "formation_energy_uncorrected_kj_per_mol_atoms": -164, "total_magnetization_mub_per_atom": 0.000, "space_group": "Cmc2_1, No. 36", "lattice_angstrom": [[4.3433, 0.0000, 0.0000], [0.0000, 7.4250, 0.0000], [-2.1717, 0.0000, 10.4014]], "species": ["Ca", "Ca", "Th", "Th", "Se", "Se", "Se", "Se", "Se", "Se"], "fractional_positions": [[0.3485, 0.4856, 0.6969], [0.6515, 0.9856, 0.3031], [0.8425, 0.9999, 0.6850], [0.1575, 0.4999, 0.3150], [0.9107, 0.3151, 0.8213], [0.0893, 0.8151, 0.1787], [0.5924, 0.3365, 0.1848], [0.4076, 0.8365, 0.8152], [0.7489, 0.6570, 0.4979], [0.2511, 0.1570, 0.5021]]}